Entry from Alexandria: crystalline Sr2CuBiO5 at its relaxed geometry (PBE).

Structure (CIF):
```
data_Sr2CuBiO5
_space_group_name_H-M_alt 'C m c 21'
_space_group_IT_number 36
_cell_length_a 3.870
_cell_length_b 13.004
_cell_length_c 11.597
_cell_angle_alpha 90.00
_cell_angle_beta 90.00
_cell_angle_gamma 90.00
loop_
_space_group_symop_operation_xyz
'x,y,z'
'-x,-y,z+1/2'
'-x,y,z'
'x,-y,z+1/2'
'x+1/2,y+1/2,z'
'-x+1/2,-y+1/2,z+1/2'
'-x+1/2,y+1/2,z'
'x+1/2,-y+1/2,z+1/2'
loop_
_atom_site_label
_atom_site_type_symbol
_atom_site_fract_x
_atom_site_fract_y
_atom_site_fract_z
Sr1 Sr 0.000 0.089 0.000
Sr2 Sr 0.000 0.148 0.690
Cu1 Cu 0.000 0.242 0.380
Bi1 Bi 0.000 0.426 0.768
O1 O 0.000 0.092 0.364
O2 O 0.000 0.259 0.875
O3 O 0.000 0.321 0.623
O4 O 0.000 0.389 0.353
O5 O 0.000 0.466 0.120
```

Uncorrected energy in Ha/atom: -0.2085
E_form (uncorrected) in meV per atom: -1659.2
DOS(E_F) in states/eV per cell: 15.5
Theoretical density in g/cm3: 6.01
M_tot in Bohr magnetons per cell: 0.0



Entry from Alexandria: crystalline In2Ge2Te at its relaxed geometry (PBE).

Structure (CIF):
```
data_In2Ge2Te
_space_group_name_H-M_alt 'P 4/m b m'
_space_group_IT_number 127
_space_group_name_Hall '-P 4 2ab'
_cell_length_a 7.994
_cell_length_b 7.994
_cell_length_c 3.965
_cell_angle_alpha 90.00
_cell_angle_beta 90.00
_cell_angle_gamma 90.00
loop_
_atom_site_label
_atom_site_type_symbol
_atom_site_fract_x
_atom_site_fract_y
_atom_site_fract_z
In1 In 0.183 0.317 0.000
Ge1 Ge 0.121 0.621 0.500
Te1 Te 0.000 0.000 0.500
```

Uncorrected energy in Ha/atom: -0.1262
E_form (uncorrected) in meV per atom: 137.4
DOS(E_F) in states/eV per cell: 4.4
Theoretical density in g/cm3: 6.59
M_tot in Bohr magnetons per cell: 0.0



Entry from Alexandria: crystalline Mg2AlHg2 at its relaxed geometry (PBE).

Structure (CIF):
```
data_Mg2AlHg2
_space_group_name_H-M_alt 'P 4/m b m'
_space_group_IT_number 127
_space_group_name_Hall '-P 4 2ab'
_cell_length_a 7.865
_cell_length_b 7.865
_cell_length_c 3.605
_cell_angle_alpha 90.00
_cell_angle_beta 90.00
_cell_angle_gamma 90.00
loop_
_atom_site_label
_atom_site_type_symbol
_atom_site_fract_x
_atom_site_fract_y
_atom_site_fract_z
Mg1 Mg 0.141 0.359 0.000
Al1 Al 0.000 0.000 0.000
Hg1 Hg 0.161 0.661 0.500
```

Uncorrected energy in Ha/atom: -0.0547
DOS(E_F) in states/eV per cell: 3.0
Theoretical density in g/cm3: 7.10
M_tot in Bohr magnetons per cell: 0.0
Energy relative to the elements in kJ/mol of atoms: 1.7



Entry from Alexandria: crystalline TbCePrSm2 at its relaxed geometry (PBE).

Structure (CIF):
```
data_TbCePrSm2
_space_group_name_H-M_alt 'P 1 2/c 1'
_space_group_IT_number 13
_cell_length_a 7.977
_cell_length_b 7.072
_cell_length_c 6.008
_cell_angle_alpha 90.00
_cell_angle_beta 90.07
_cell_angle_gamma 90.00
loop_
_space_group_symop_operation_xyz
'x,y,z'
'-x,-y,-z'
'-x,y,-z+1/2'
'x,-y,z+1/2'
loop_
_atom_site_label
_atom_site_type_symbol
_atom_site_fract_x
_atom_site_fract_y
_atom_site_fract_z
Tb1 Tb 0.000 0.100 0.250
Ce1 Ce 0.000 0.500 0.000
Pr1 Pr 0.500 0.337 0.250
Sm1 Sm 0.293 0.188 0.750
```

Uncorrected energy in Ha/atom: -0.1723
DOS(E_F) in states/eV per cell: 21.1
Theoretical density in g/cm3: 7.26
M_tot in Bohr magnetons per cell: 3.1
Energy relative to the elements in kJ/mol of atoms: 25.9



Entry from Alexandria: crystalline LiMg6Pd3 at its relaxed geometry (PBE).

Structure (CIF):
```
data_LiMg6Pd3
_space_group_name_H-M_alt 'C m c 21'
_space_group_IT_number 36
_cell_length_a 10.029
_cell_length_b 12.985
_cell_length_c 6.151
_cell_angle_alpha 90.00
_cell_angle_beta 90.00
_cell_angle_gamma 90.00
loop_
_space_group_symop_operation_xyz
'x,y,z'
'-x,-y,z+1/2'
'-x,y,z'
'x,-y,z+1/2'
'x+1/2,y+1/2,z'
'-x+1/2,-y+1/2,z+1/2'
'-x+1/2,y+1/2,z'
'x+1/2,-y+1/2,z+1/2'
loop_
_atom_site_label
_atom_site_type_symbol
_atom_site_fract_x
_atom_site_fract_y
_atom_site_fract_z
Li1 Li 0.000 0.205 0.000
Mg1 Mg 0.000 0.035 0.638
Mg2 Mg 0.000 0.270 0.501
Mg3 Mg 0.188 0.472 0.510
Mg4 Mg 0.234 0.301 0.169
Pd1 Pd 0.000 0.413 0.209
Pd2 Pd 0.150 0.117 0.315
```

Uncorrected energy in Ha/atom: -0.1132
DOS(E_F) in states/eV per cell: 8.8
Theoretical density in g/cm3: 3.91
M_tot in Bohr magnetons per cell: 0.0
Energy relative to the elements in kJ/mol of atoms: -36.0



Entry from Alexandria: crystalline RbLaMg2Te at its relaxed geometry (PBE).

Structure (CIF):
```
data_RbLaMg2Te
_space_group_name_H-M_alt 'P 4/m m m'
_space_group_IT_number 123
_space_group_name_Hall '-P 4 2'
_cell_length_a 5.524
_cell_length_b 5.524
_cell_length_c 6.284
_cell_angle_alpha 90.00
_cell_angle_beta 90.00
_cell_angle_gamma 90.00
loop_
_atom_site_label
_atom_site_type_symbol
_atom_site_fract_x
_atom_site_fract_y
_atom_site_fract_z
Rb1 Rb 0.000 0.000 0.000
La1 La 0.500 0.500 0.000
Mg1 Mg 0.000 0.500 0.500
Te1 Te 0.000 0.000 0.500
```

Uncorrected energy in Ha/atom: -0.0774
E_form (uncorrected) in meV per atom: 339.7
DOS(E_F) in states/eV per cell: 6.6
Theoretical density in g/cm3: 3.47
M_tot in Bohr magnetons per cell: 0.0



Entry from Alexandria: crystalline Sm6ErSc8 at its relaxed geometry (PBE).

Structure (CIF):
```
data_Sm6ErSc8
_space_group_name_H-M_alt 'R -3'
_space_group_IT_number 148
_space_group_name_Hall '-R 3'
_cell_length_a 9.2547
_cell_length_b 9.2547
_cell_length_c 17.4480
_cell_angle_alpha 90.00
_cell_angle_beta 90.00
_cell_angle_gamma 120.00
loop_
_atom_site_label
_atom_site_type_symbol
_atom_site_fract_x
_atom_site_fract_y
_atom_site_fract_z
Sm1 Sm 0.0219 0.7848 0.4061
Er1 Er 0.0000 0.0000 0.0000
Sc1 Sc 0.0000 0.0000 0.2277
Sc2 Sc 0.0517 0.7729 0.9003
```

Uncorrected energy in Ha/atom: -0.1978
DOS(E_F) in states/eV per cell: 74.7
Theoretical density in g/cm3: 5.50
M_tot in Bohr magnetons per cell: 0.0
Energy relative to the elements in kJ/mol of atoms: 17.9



Entry from Alexandria: crystalline Ni6SnB3 at its relaxed geometry (PBE).

Structure (CIF):
```
data_Ni6SnB3
_space_group_name_H-M_alt 'R 3'
_space_group_IT_number 146
_space_group_name_Hall 'R 3'
_cell_length_a 5.0427
_cell_length_b 5.0427
_cell_length_c 14.5983
_cell_angle_alpha 90.00
_cell_angle_beta 90.00
_cell_angle_gamma 120.00
loop_
_atom_site_label
_atom_site_type_symbol
_atom_site_fract_x
_atom_site_fract_y
_atom_site_fract_z
Ni1 Ni 0.0880 0.3350 0.0000
Ni2 Ni 0.1638 0.8262 0.1862
Sn1 Sn 0.0000 0.0000 0.7964
B1 B 0.0000 0.0000 0.0895
B2 B 0.0000 0.0000 0.4215
B3 B 0.0000 0.0000 0.6279
```

Uncorrected energy in Ha/atom: -0.2176
DOS(E_F) in states/eV per cell: 11.9
Theoretical density in g/cm3: 7.80
M_tot in Bohr magnetons per cell: 0.0
Energy relative to the elements in kJ/mol of atoms: -4.8